(1)
SrMn3Te: relaxed, PBE-GGA.

The value obtained for the energy above the most stable polymorph in this dataset is 0 meV per atom. As for the symmetry: Pm-3m (221). As for the total energy: -5.826 eV/atom. Its total moment is 9.29 μB/f.u.

```
SrMn3Te
1.0
-4.431 -2.097 -0.986
2.262 -3.455 -2.820
0.502 -2.945 4.010
Te Mn Sr
1 3 1
Cartesian
0.000 0.000 0.000
-2.216 -1.048 -0.493
1.131 -1.727 -1.410
0.251 -1.472 2.005
-0.834 -4.248 0.102
```

---

(2)
SrMn2Te: relaxed, PBE-GGA.

As for the symmetry: F-43m (216). As for the total energy: -5.418 eV/atom. Its total moment is 8.05 μB/f.u.

```
SrMn2Te
1.0
5.188 0.000 0.000
2.594 4.493 0.000
2.594 1.498 4.236
Mn Te Sr
2 1 1
Cartesian
2.594 1.498 1.059
0.000 0.000 0.000
7.782 4.493 3.177
5.188 2.995 2.118
```

---

(3)
Sr2MnTe: relaxed, PBE-GGA.

As for the symmetry: P4mm (99). As for the total energy: -4.089 eV/atom. Its total moment is 4.64 μB/f.u.

```
Sr2MnTe
1.0
-1.276 2.070 -3.125
-3.707 -0.208 1.375
1.265 7.683 4.572
Sr Te Mn
2 1 1
Cartesian
-2.085 3.402 0.596
1.176 7.146 4.253
0.696 4.226 2.515
-1.609 6.294 2.317
```

---

(4)
SrMn2Te: relaxed, PBE-GGA.

As for the symmetry: R3m (160). As for the total energy: -5.910 eV/atom. Its total moment is 0.24 μB/f.u.

```
SrMn2Te
1.0
4.197 -0.002 0.007
2.101 3.633 0.007
2.089 1.205 6.140
Mn Te Sr
2 1 1
Cartesian
2.090 1.205 5.798
6.289 3.626 5.497
2.098 1.210 0.849
4.193 2.418 3.225
```

---

Going through the records in order, we get volume values of 125 99 142 94 Å³/f.u..
Going through the records in order, we get energy relative to the elements, uncorrected values of 0.64 0.37 -0.17 -0.12 eV per atom.